[1]
Computed, not measured: a geometry-optimized LaGdHoIn structure at the PBE-GGA level of DFT.

Structure (extended XYZ):
```
4
Lattice="0.000 3.926 3.926 3.926 0.000 3.926 3.926 3.926 0.000" Properties=species:S:1:pos:R:3 pbc="T T T"
La 0.000 0.000 0.000
Gd 3.926 3.926 3.926
Ho 5.889 5.889 5.889
In 1.963 1.963 1.963
```

Computed properties:
- Calculated volume: 121 Å³/cell
- Total magnetization: 8.328 μB/f.u.
- Energy of formation: -0.71 eV per formula unit
- E_tot: -6.76 eV per atom

[2]
Computed, not measured: a geometry-optimized Cs2BaCu2Cl6 structure at the PBE-GGA level of DFT.

Structure (extended XYZ):
```
11
Lattice="6.581 -3.791 0.000 6.581 3.791 0.000 -4.121 0.000 7.815" Properties=species:S:1:pos:R:3 pbc="T T T"
Cs 1.968 0.000 1.433
Cs 7.072 0.000 6.382
Ba -2.060 0.000 3.908
Cu 2.843 0.000 5.787
Cu 6.198 0.000 2.029
Cl 5.063 1.879 1.548
Cl 0.848 0.000 4.814
Cl 3.978 1.879 6.267
Cl 5.063 -1.879 1.548
Cl 8.192 0.000 3.001
Cl 3.978 -1.879 6.267
```

Computed properties:
- Calculated volume: 390 Å³/cell
- Total magnetization: 0.204 μB/f.u.
- Formation energy (no corrections): -1558 meV/atom
- E_tot: -3.64 eV per atom

[3]
Computed, not measured: a geometry-optimized KIrI2N structure at the PBE-GGA level of DFT.

Structure (extended XYZ):
```
5
Lattice="6.370 0.000 0.000 0.000 6.370 0.000 0.000 0.000 4.975" Properties=species:S:1:pos:R:3 pbc="T T T"
K 0.000 0.000 0.000
Ir 3.185 3.185 2.487
I 0.000 3.185 0.000
I 3.185 0.000 0.000
N 0.000 0.000 2.487
```

Computed properties:
- Calculated volume: 202 Å³/cell
- Energy relative to the lowest polymorph listed for this composition: 10.436 eV per formula unit
- Total magnetization: 5.833 μB/f.u.
- Formation energy (no corrections): 1907 meV/atom
- E_tot: -2.37 eV per atom

[4]
Computed, not measured: a geometry-optimized PtI2NCl structure at the PBE-GGA level of DFT.

Structure (extended XYZ):
```
5
Lattice="6.384 0.000 0.000 0.000 6.384 0.000 0.000 0.000 3.246" Properties=species:S:1:pos:R:3 pbc="T T T"
Pt 0.000 0.000 0.000
I 0.000 3.192 1.623
I 3.192 0.000 1.623
N 3.192 3.192 0.000
Cl 3.192 3.192 1.623
```

Computed properties:
- Calculated volume: 132 Å³/cell
- Energy relative to the lowest polymorph listed for this composition: 5.038 eV per formula unit
- Total magnetization: 0.176 μB/f.u.
- Formation energy (no corrections): 1588 meV/atom
- E_tot: -2.27 eV per atom

[5]
Computed, not measured: a geometry-optimized YZr2As structure at the PBE-GGA level of DFT.

Structure (extended XYZ):
```
4
Lattice="5.393 -1.774 0.000 5.393 1.774 0.000 -3.289 0.000 4.966" Properties=species:S:1:pos:R:3 pbc="T T T"
Y 0.000 0.000 0.000
Zr 4.491 0.000 3.082
Zr 7.933 0.000 1.223
As 1.253 0.000 2.777
```

Computed properties:
- Calculated volume: 95 Å³/cell
- Total magnetization: 0.000 μB/f.u.
- Energy of formation: -1.89 eV per formula unit
- E_tot: -7.53 eV per atom

[6]
Computed, not measured: a geometry-optimized PrErScAg structure at the PBE-GGA level of DFT.

Structure (extended XYZ):
```
4
Lattice="0.000 3.771 3.771 3.771 0.000 3.771 3.771 3.771 0.000" Properties=species:S:1:pos:R:3 pbc="T T T"
Pr 0.000 0.000 0.000
Er 3.771 3.771 3.771
Sc 1.885 1.885 1.885
Ag 5.656 5.656 5.656
```

Computed properties:
- Calculated volume: 107 Å³/cell
- Energy relative to the lowest polymorph listed for this composition: 0.608 eV per formula unit
- Total magnetization: 0.001 μB/f.u.
- Energy of formation: 0.18 eV per formula unit
- E_tot: -4.59 eV per atom

[7]
Computed, not measured: a geometry-optimized YGa4Ru structure at the PBE-GGA level of DFT.

Structure (extended XYZ):
```
12
Lattice="7.765 0.000 0.000 0.000 4.073 0.000 0.000 0.000 6.916" Properties=species:S:1:pos:R:3 pbc="T T T"
Y 1.941 0.000 0.887
Y 5.824 0.000 6.029
Ga 0.000 0.000 3.458
Ga 0.501 2.036 5.691
Ga 1.941 2.036 3.117
Ga 3.382 2.036 5.691
Ga 3.883 0.000 3.458
Ga 4.383 2.036 1.225
Ga 5.824 2.036 3.799
Ga 7.265 2.036 1.225
Ru 1.941 0.000 4.837
Ru 5.824 0.000 2.079
```

Computed properties:
- Calculated volume: 219 Å³/cell
- Total magnetization: 0.000 μB/f.u.
- Energy of formation: -3.10 eV per formula unit
- E_tot: -5.16 eV per atom

[8]
Computed, not measured: a geometry-optimized DyHo4Rh2 structure at the PBE-GGA level of DFT.

Structure (extended XYZ):
```
14
Lattice="7.807 0.000 0.000 0.000 6.340 0.000 -3.021 0.000 7.225" Properties=species:S:1:pos:R:3 pbc="T T T"
Dy -0.271 1.585 1.150
Dy 5.057 4.755 6.075
Ho 0.079 3.185 4.253
Ho 0.079 6.324 4.253
Ho 1.869 4.755 1.793
Ho 2.939 1.585 0.124
Ho 1.848 4.755 7.101
Ho 2.917 1.585 5.432
Ho 4.708 0.016 2.972
Ho 4.708 3.154 2.972
Rh -2.164 1.585 5.380
Rh 2.078 1.585 2.701
Rh 2.708 4.755 4.524
Rh 6.951 4.755 1.845
```

Computed properties:
- Calculated volume: 358 Å³/cell
- Total magnetization: 0.000 μB/f.u.
- Energy of formation: -3.45 eV per formula unit
- E_tot: -5.87 eV per atom

[9]
Computed, not measured: a geometry-optimized Ac2Ho12Tm5 structure at the PBE-GGA level of DFT.

Structure (extended XYZ):
```
19
Lattice="8.341 -4.433 0.000 8.341 4.433 0.000 -0.194 0.000 8.427" Properties=species:S:1:pos:R:3 pbc="T T T"
Ac 8.341 2.546 0.000
Ac 8.341 -2.546 0.000
Ho 5.009 2.619 6.548
Ho 2.619 0.000 7.355
Ho 6.389 1.843 3.249
Ho 11.479 2.619 1.879
Ho 10.099 1.843 5.179
Ho 7.308 0.000 5.951
Ho 9.181 0.000 2.476
Ho 6.389 -1.843 3.249
Ho 5.009 -2.619 6.548
Ho 10.099 -1.843 5.179
Ho 13.869 0.000 1.072
Ho 11.479 -2.619 1.879
Tm -0.097 0.000 4.214
Tm 4.008 0.000 4.622
Tm 5.809 0.000 0.433
Tm 10.680 0.000 7.994
Tm 12.480 0.000 3.805
```

Computed properties:
- Calculated volume: 623 Å³/cell
- Total magnetization: 0.000 μB/f.u.
- Energy of formation: 2.72 eV per formula unit
- E_tot: -4.36 eV per atom

[10]
Computed, not measured: a geometry-optimized La4TlTeSe2 structure at the PBE-GGA level of DFT.

Structure (extended XYZ):
```
8
Lattice="7.789 0.000 0.000 0.000 4.391 0.000 -2.488 0.000 7.384" Properties=species:S:1:pos:R:3 pbc="T T T"
La 1.300 0.000 1.717
La 0.093 2.196 5.668
La 5.208 2.196 1.716
La 4.001 0.000 5.667
Tl -1.244 0.000 3.692
Te 2.651 2.196 3.692
Se 0.000 2.196 0.000
Se 3.895 0.000 0.000
```

Computed properties:
- Calculated volume: 253 Å³/cell
- Total magnetization: 0.000 μB/f.u.
- Formation energy (no corrections): -1470 meV/atom
- E_tot: -5.49 eV per atom

[11]
Computed, not measured: a geometry-optimized LiAcSi4 structure at the PBE-GGA level of DFT.

Structure (extended XYZ):
```
6
Lattice="0.000 3.886 3.886 3.886 0.000 3.886 3.886 3.886 0.000" Properties=species:S:1:pos:R:3 pbc="T T T"
Li 0.000 0.000 0.000
Ac 1.943 1.943 1.943
Si 4.919 2.854 2.854
Si 2.854 4.919 2.854
Si 2.854 2.854 4.919
Si 4.919 4.919 4.919
```

Computed properties:
- Calculated volume: 117 Å³/cell
- Energy relative to the lowest polymorph listed for this composition: 0.379 eV per formula unit
- Total magnetization: 0.000 μB/f.u.
- Formation energy (no corrections): -162 meV/atom
- E_tot: -4.78 eV per atom

[12]
Computed, not measured: a geometry-optimized NdZrMo structure at the PBE-GGA level of DFT.

Structure (extended XYZ):
```
6
Lattice="1.667 0.962 14.990 -1.667 0.962 14.990 0.000 -1.925 14.990" Properties=species:S:1:pos:R:3 pbc="T T T"
Nd 0.000 0.000 5.858
Nd 0.000 0.000 39.111
Zr 0.000 0.000 18.013
Zr 0.000 0.000 26.956
Mo 0.000 0.000 14.130
Mo 0.000 0.000 30.839
```

Computed properties:
- Calculated volume: 144 Å³/cell
- Total magnetization: 0.000 μB/f.u.
- Energy of formation: 0.90 eV per formula unit
- E_tot: -7.75 eV per atom

[13]
Computed, not measured: a geometry-optimized LiBi5Pd5 structure at the PBE-GGA level of DFT.

Structure (extended XYZ):
```
11
Lattice="4.705 -2.401 0.000 4.705 2.401 0.000 -1.650 0.000 10.412" Properties=species:S:1:pos:R:3 pbc="T T T"
Li 0.000 0.000 0.000
Bi -0.825 0.000 5.206
Bi 2.317 0.000 1.366
Bi 2.393 0.000 7.254
Bi 5.367 0.000 3.158
Bi 5.443 0.000 9.046
Pd -0.503 0.000 8.025
Pd 2.227 0.000 4.252
Pd 4.705 0.000 0.000
Pd 5.533 0.000 6.161
Pd 8.263 0.000 2.387
```

Computed properties:
- Calculated volume: 235 Å³/cell
- Total magnetization: 0.000 μB/f.u.
- Energy of formation: -2.24 eV per formula unit
- E_tot: -4.50 eV per atom